Entry 1:
Compound: CeFe2Si2
Source: Alexandria
Functional: SCAN
Structure: single point on PBEsol structure

```
CeFe2Si2
1.0
-1.9814 1.9814 4.6914
1.9814 -1.9814 4.6914
1.9814 1.9814 -4.6914
Ce Fe Si
1 2 2
Direct
0.0000 0.0000 0.0000
0.2500 0.7500 0.5000
0.7500 0.2500 0.5000
0.3644 0.3644 0.0000
0.6356 0.6356 0.0000
```

## Properties
uncorrected formation energy	-0.54	eV per atom
symmetry	I4/mmm, No. 139

---

Entry 2:
Compound: Sc2TaRh
Source: Alexandria
Functional: SCAN
Structure: single point on PBEsol structure

```
Sc2TaRh
1.0
1.5346 0.8860 8.8755
-1.5346 0.8860 8.8755
0.0000 -1.7720 8.8755
Sc Ta Rh
2 1 1
Direct
0.2416 0.2416 0.2416
0.7584 0.7584 0.7584
0.0000 0.0000 0.0000
0.5000 0.5000 0.5000
```

## Properties
calculated formation energy	-0.78	eV/f.u.
energy relative to the lowest polymorph listed for this composition	7.0	kJ/mol of atoms
symmetry	R-3m, No. 166

---

Entry 3:
Compound: BaLi3Cu
Source: Alexandria
Functional: SCAN
Structure: single point on PBEsol structure

```
BaLi3Cu
1.0
5.0228 0.0000 0.0000
0.0000 5.0228 0.0000
0.0000 0.0000 5.0228
Ba Li Cu
1 3 1
Direct
0.0000 0.0000 0.0000
0.0000 0.5000 0.5000
0.5000 0.0000 0.5000
0.5000 0.5000 0.0000
0.5000 0.5000 0.5000
```

## Properties
calculated formation energy	0.58	eV/f.u.
symmetry	Pm-3m, No. 221

---

Entry 4:
Compound: FeTcAg
Source: Alexandria
Functional: SCAN
Structure: single point on PBEsol structure

```
FeTcAg
1.0
0.0000 2.9241 2.9241
2.9241 0.0000 2.9241
2.9241 2.9241 0.0000
Fe Tc Ag
1 1 1
Direct
0.0000 0.0000 0.0000
0.2500 0.2500 0.2500
0.5000 0.5000 0.5000
```

## Properties
calculated formation energy	3.46	eV/f.u.
energy relative to the lowest polymorph listed for this composition	64.4	kJ/mol of atoms
symmetry	F-43m, No. 216

---

Entry 5:
Compound: SmMoO4F
Source: Alexandria
Functional: SCAN
Structure: single point on PBEsol structure

```
SmMoO4F
1.0
5.2640 0.0000 0.0000
0.0000 12.4394 0.0000
-2.6834 0.0000 6.2001
Sm Mo O F
4 4 16 4
Direct
0.1389 0.0528 0.2990
0.1389 0.4472 0.7990
0.8611 0.5528 0.2010
0.8611 0.9472 0.7010
0.4180 0.1415 0.8672
0.4180 0.3585 0.3672
0.5820 0.6415 0.6328
0.5820 0.8585 0.1328
0.1948 0.0660 0.9612
0.1948 0.4340 0.4612
0.2696 0.6522 0.4130
0.2696 0.8478 0.9130
0.3059 0.2270 0.2924
0.3059 0.2730 0.7924
0.4936 0.0690 0.6648
0.4936 0.4310 0.1648
0.5064 0.5690 0.8352
0.5064 0.9310 0.3352
0.6941 0.7270 0.2076
0.6941 0.7730 0.7076
0.7304 0.1522 0.0870
0.7304 0.3478 0.5870
0.8052 0.5660 0.5388
0.8052 0.9340 0.0388
0.0406 0.5995 0.9575
0.0406 0.9005 0.4575
0.9594 0.0995 0.5425
0.9594 0.4005 0.0425
```

## Properties
uncorrected formation energy	-3.06	eV per atom
symmetry	P2_1/c, No. 14

---

Entry 6:
Compound: Ba2ReBr
Source: Alexandria
Functional: SCAN
Structure: single point on PBEsol structure

```
Ba2ReBr
1.0
0.0000 3.9228 3.9228
3.9228 0.0000 3.9228
3.9228 3.9228 0.0000
Ba Re Br
2 1 1
Direct
0.2500 0.2500 0.2500
0.7500 0.7500 0.7500
0.0000 0.0000 0.0000
0.5000 0.5000 0.5000
```

## Properties
energy relative to the lowest polymorph listed for this composition	19.6	kJ/mol of atoms
uncorrected formation energy	0.29	eV per atom
symmetry	Fm-3m, No. 225

---

Number 1: magnetic moment 0.00 Bohr magnetons per cell. Number 2: magnetic moment 0.00 Bohr magnetons per cell. Number 3: magnetic moment 0.00 Bohr magnetons per cell. Number 4: magnetic moment 1.96 Bohr magnetons per cell. Number 5: magnetic moment 0.00 Bohr magnetons per cell. Number 6: magnetic moment 2.04 Bohr magnetons per cell.